Ac3Tl7Cd2 (PBE-GGA, optimized geometry); energy of formation from the pure elements = -2.7 eV/f.u.; theoretical density = 10.29 Mg/m³; total moment = 0.00 μB per cell; calculated volume = 377 Å³ per cell
1.0
4.8931 0.0000 0.0000
0.0000 4.9370 -0.0144
0.0000 -2.4956 15.6112
Ac Tl Cd
3 7 2
direct
0.5000 0.5000 0.0000 Ac
0.0000 0.1851 0.3705 Ac
0.0000 0.8149 0.6295 Ac
0.5000 0.7249 0.4506 Tl
0.5000 0.2751 0.5494 Tl
0.0000 0.5845 0.1630 Tl
0.0000 0.0000 0.0000 Tl
0.0000 0.4155 0.8370 Tl
0.5000 0.9143 0.8367 Tl
0.5000 0.0857 0.1633 Tl
0.5000 0.6421 0.2714 Cd
0.5000 0.3579 0.7286 Cd



Hf2FeCuRh (PBE-GGA, optimized geometry); energy of formation from the pure elements = 2.3 eV/f.u.; theoretical density = 9.90 Mg/m³; total moment = 0.00 μB per cell; calculated volume = 97 Å³ per cell
1.0
-3.5243 2.8925 1.1530
0.4790 -1.1015 4.2274
3.0714 3.5158 0.5681
Rh Hf Fe Cu
1 2 1 1
direct
0.0000 0.5000 0.0000 Rh
0.0000 0.0000 0.5000 Hf
0.5000 0.0000 0.0000 Hf
0.0000 0.0000 0.0000 Fe
0.5000 0.5000 0.5000 Cu



BeAg2WBr (PBE-GGA, optimized geometry); theoretical density = 8.54 Mg/m³; VASP energy = -0.12661 Ha/atom; total moment = 3.43 μB per cell; calculated volume = 95 Å³ per cell
1.0
4.5363 0.0000 0.0000
0.0000 4.6164 0.0000
0.0000 0.0000 4.5363
Be Br Ag W
1 1 2 1
direct
0.0000 0.0000 0.0000 Be
0.0000 0.5000 0.0000 Br
0.0000 0.0000 0.5000 Ag
0.5000 0.0000 0.0000 Ag
0.5000 0.5000 0.5000 W



PdSN2O (PBE-GGA, optimized geometry); theoretical density = 4.78 Mg/m³; VASP energy = -0.16091 Ha/atom; total moment = 1.24 μB per cell; calculated volume = 63 Å³ per cell
1.0
3.9988 0.0000 0.0000
0.0000 3.9988 0.0000
0.0000 0.0000 3.9644
S O Pd N
1 1 1 2
direct
0.5000 0.5000 0.5000 S
0.0000 0.0000 0.5000 O
0.0000 0.0000 0.0000 Pd
0.0000 0.5000 0.0000 N
0.5000 0.0000 0.0000 N